Record 1
MgPPt4: relaxed, PBE.

Structure (extended XYZ):
```
6
Lattice="0.0000 3.7357 3.7357 3.7357 0.0000 3.7357 3.7357 3.7357 0.0000" Properties=species:S:1:pos:R:3 pbc="T T T"
Mg 1.8678 1.8678 1.8678
P 0.0000 0.0000 0.0000
Pt 2.8005 2.8005 4.6709
Pt 2.8005 4.6709 2.8005
Pt 4.6709 4.6709 4.6709
Pt 4.6709 2.8005 2.8005
```

Computed properties:
Total magnetic moment in μB/f.u.: 0.0
Energy of formation in eV per formula unit: -0.03

=====

Record 2
Cs2Li2TbI6: relaxed, PBE.

Structure (extended XYZ):
```
11
Lattice="8.7307 0.0000 0.0000 -4.3654 7.2502 0.3089 0.0000 -3.8686 7.9497" Properties=species:S:1:pos:R:3 pbc="T T T"
Cs 4.3654 2.2150 1.5339
Cs 0.0000 1.1667 6.7248
Li 4.3654 3.4562 6.0024
Li 0.0000 -0.0745 2.2562
Tb 4.3654 -1.9343 3.9749
I 4.3654 0.9603 5.1699
I -2.1501 5.7738 2.0553
I 2.2153 -2.3921 6.2034
I 6.5154 -2.3921 6.2034
I 2.1501 5.7738 2.0553
I 0.0000 2.4214 3.0887
```

Computed properties:
Total magnetic moment in μB/f.u.: 1.0
Uncorrected formation energy in kJ per mole of atoms: -119.4

=====

Record 3
SrAgP2O: relaxed, PBE.

Structure (extended XYZ):
```
5
Lattice="4.8720 0.0000 0.0000 0.0000 4.8720 0.0000 0.0000 0.0000 4.3975" Properties=species:S:1:pos:R:3 pbc="T T T"
Sr 2.4360 2.4360 2.1987
O 0.0000 0.0000 2.1987
Ag 0.0000 0.0000 0.0000
P 0.0000 2.4360 0.0000
P 2.4360 0.0000 0.0000
```

Computed properties:
Total magnetic moment in μB/f.u.: 1.5
Uncorrected formation energy in kJ per mole of atoms: 7.0